No. 1
The following is a GGA-PBE calculation of a relaxed Ca2NbTlRh crystal, from the Alexandria database.

```
data_Ca2NbTlRh
_chemical_formula_sum 'Ca2 Nb1 Tl1 Rh1'
_cell_length_a 5.711
_cell_length_b 5.711
_cell_length_c 4.977
_cell_angle_alpha 90.00
_cell_angle_beta 90.00
_cell_angle_gamma 90.00
_symmetry_space_group_name_H-M 'P 4/m m m'
_symmetry_Int_Tables_number 123
_symmetry_space_group_name_Hall '-P 4 2'
loop_
_atom_site_label
_atom_site_type_symbol
_atom_site_fract_x
_atom_site_fract_y
_atom_site_fract_z
_atom_site_occupancy
Ca1 Ca 0.000 0.500 0.000 1
Nb1 Nb 0.000 0.000 0.500 1
Tl1 Tl 0.500 0.500 0.000 1
Rh1 Rh 0.500 0.500 0.500 1
```

## Properties
The total energy is -18.5 eV per cell.

No. 2
The following is a GGA-PBE calculation of a relaxed Ca2NbZn2Rh5 crystal, from the Alexandria database.

```
data_Ca2NbZn2Rh5
_chemical_formula_sum 'Ca4 Nb2 Zn4 Rh10'
_cell_length_a 10.157
_cell_length_b 10.157
_cell_length_c 3.350
_cell_angle_alpha 90.00
_cell_angle_beta 90.00
_cell_angle_gamma 90.00
_symmetry_space_group_name_H-M 'P 4/m b m'
_symmetry_Int_Tables_number 127
_symmetry_space_group_name_Hall '-P 4 2ab'
loop_
_atom_site_label
_atom_site_type_symbol
_atom_site_fract_x
_atom_site_fract_y
_atom_site_fract_z
_atom_site_occupancy
Ca1 Ca 0.172 0.328 0.000 1
Nb1 Nb 0.000 0.000 0.000 1
Zn1 Zn 0.129 0.629 0.000 1
Rh1 Rh 0.000 0.500 0.500 1
Rh2 Rh 0.061 0.805 0.500 1
```

## Properties
The total energy is -115.0 eV per cell.

No. 3
The following is a GGA-PBE calculation of a relaxed Ca2NbRu2 crystal, from the Alexandria database.

```
data_Ca2NbRu2
_chemical_formula_sum 'Ca4 Nb2 Ru4'
_cell_length_a 6.588
_cell_length_b 6.588
_cell_length_c 4.948
_cell_angle_alpha 90.00
_cell_angle_beta 90.00
_cell_angle_gamma 90.00
_symmetry_space_group_name_H-M 'P 4/m b m'
_symmetry_Int_Tables_number 127
_symmetry_space_group_name_Hall '-P 4 2ab'
loop_
_atom_site_label
_atom_site_type_symbol
_atom_site_fract_x
_atom_site_fract_y
_atom_site_fract_z
_atom_site_occupancy
Ca1 Ca 0.175 0.325 0.000 1
Nb1 Nb 0.000 0.000 0.500 1
Ru1 Ru 0.133 0.633 0.500 1
```

## Properties
The total energy is -64.3 eV per cell.